1.
The following is a DFT calculation (PBE-GGA) of a geometry-optimized Tl4Hg5Au2 structure.

Cell and atoms, written as CIF:
```
data_Tl4Hg5Au2
_symmetry_space_group_name_H-M 'P 1 2/m 1'
_symmetry_Int_Tables_number 10
_cell_length_a 8.027
_cell_length_b 3.572
_cell_length_c 10.483
_cell_angle_alpha 90.00
_cell_angle_beta 93.20
_cell_angle_gamma 90.00
loop_
_symmetry_equiv_pos_as_xyz
'x,y,z'
'-x,-y,-z'
'-x,y,-z'
'x,-y,z'
loop_
_atom_site_label
_atom_site_type_symbol
_atom_site_fract_x
_atom_site_fract_y
_atom_site_fract_z
Tl1 Tl 0.153 0.000 0.372
Tl2 Tl 0.252 0.000 0.949
Hg1 Hg 0.199 0.500 0.662
Hg2 Hg 0.439 0.500 0.197
Hg3 Hg 0.500 0.500 0.500
Au1 Au 0.059 0.500 0.136
```

=====

2.
The following is a DFT calculation (PBE-GGA) of a geometry-optimized KCrMoPb2 structure.

Cell and atoms, written as CIF:
```
data_KCrMoPb2
_symmetry_space_group_name_H-M 'P 4/m m m'
_symmetry_Int_Tables_number 123
_symmetry_space_group_name_Hall '-P 4 2'
_cell_length_a 5.285
_cell_length_b 5.285
_cell_length_c 5.602
_cell_angle_alpha 90.00
_cell_angle_beta 90.00
_cell_angle_gamma 90.00
loop_
_atom_site_label
_atom_site_type_symbol
_atom_site_fract_x
_atom_site_fract_y
_atom_site_fract_z
K1 K 0.000 0.000 0.000
Cr1 Cr 0.000 0.000 0.500
Mo1 Mo 0.500 0.500 0.000
Pb1 Pb 0.000 0.500 0.500
```

=====

Number 1: total energy -1.605 eV/atom, formation energy from the elements -0.01 eV/atom, spin magnetization 0.0 μB per cell. Number 2: total energy -4.535 eV/atom, formation energy from the elements 1.26 eV/atom, spin magnetization 7.6 μB per cell.